Record 1
Here is a geometry-optimized BaCd2Co structure from Alexandria. Energies are from PBE.

Lattice parameters (Å, degrees): 5.4443 5.4443 5.4443 125.30 114.73 90.22
Site moments in Bohr magnetons follow the coordinates.
Positions (direct):
Cd1 0.9462 0.9462 0.0000  -0.02
Cd2 0.7121 0.2121 0.5000  -0.03
Ba1 0.2452 0.7452 0.5000  -0.04
Co1 0.5965 0.5965 0.0000  1.35

The density of states at the Fermi level comes out at 5.87 states/eV/f.u. The value obtained for the raw total energy is -2.44 eV/atom. As for the formation energy from the elements: 0.27 eV per atom.

Record 2
Here is a geometry-optimized BaCdCo structure from Alexandria. Energies are from PBE.

Lattice parameters (Å, degrees): 4.6028 4.6028 4.7039 90.00 90.00 120.00
Site moments in Bohr magnetons follow the coordinates.
Positions (direct):
Ba1 0.0000 0.0000 0.0000  -0.08
Cd1 0.6667 0.3333 0.5000  -0.04
Co1 0.3333 0.6667 0.5000  1.28

The density of states at the Fermi level comes out at 3.46 states/eV/f.u. The value obtained for the raw total energy is -3.06 eV/atom. As for the formation energy from the elements: 0.25 eV per atom.

Record 3
Here is a geometry-optimized BaCdCo2 structure from Alexandria. Energies are from PBE.

Lattice parameters (Å, degrees): 3.5836 3.5867 6.9556 90.00 90.00 90.00
Site moments in Bohr magnetons follow the coordinates.
Positions (direct):
Cd1 0.5000 0.5000 0.7500  -0.04
Ba1 0.5000 0.5000 0.2500  -0.07
Co1 0.0000 0.0000 0.5913  1.71
Co2 0.0000 0.0000 0.9087  1.71

The density of states at the Fermi level comes out at 4.09 states/eV/f.u. The value obtained for the raw total energy is -3.75 eV/atom. As for the formation energy from the elements: 0.51 eV per atom.

Record 4
Here is a geometry-optimized Ba2CdCo structure from Alexandria. Energies are from PBE.

Lattice parameters (Å, degrees): 9.3072 9.3072 9.3072 27.48 27.48 27.48
Site moments in Bohr magnetons follow the coordinates.
Positions (direct):
Co1 0.7500 0.7500 0.7500  1.14
Ba1 0.4834 0.4834 0.4834  -0.09
Ba2 0.0166 0.0166 0.0166  -0.09
Cd1 0.2500 0.2500 0.2500  -0.01

The density of states at the Fermi level comes out at 6.93 states/eV/f.u. The value obtained for the raw total energy is -2.65 eV/atom. As for the formation energy from the elements: 0.32 eV per atom.

Record 5
Here is a geometry-optimized BaCdCo2 structure from Alexandria. Energies are from PBE.

Lattice parameters (Å, degrees): 3.2457 3.2225 7.9288 90.00 90.00 90.00
Site moments in Bohr magnetons follow the coordinates.
Positions (direct):
Ba1 0.0000 0.0000 0.4665  -0.09
Cd1 0.5000 0.5000 0.8227  -0.02
Co1 0.5000 0.5000 0.1594  1.70
Co2 0.0000 0.0000 0.0514  1.70

The density of states at the Fermi level comes out at 4.12 states/eV/f.u. The value obtained for the raw total energy is -3.91 eV/atom. As for the formation energy from the elements: 0.36 eV per atom.

Record 6
Here is a geometry-optimized BaCd2Co structure from Alexandria. Energies are from PBE.

Lattice parameters (Å, degrees): 6.0715 6.0715 3.2596 90.00 90.00 120.74
Site moments in Bohr magnetons follow the coordinates.
Positions (direct):
Ba1 0.0000 0.5000 0.5000  -0.09
Cd1 0.0000 0.0000 0.0000  0.00
Cd2 0.5000 0.5000 0.0000  0.00
Co1 0.5000 0.0000 0.5000  1.70

The density of states at the Fermi level comes out at 4.27 states/eV/f.u. The value obtained for the raw total energy is -2.18 eV/atom. As for the formation energy from the elements: 0.53 eV per atom.

Record 7
Here is a geometry-optimized BaCdCo2 structure from Alexandria. Energies are from PBE.

Lattice parameters (Å, degrees): 7.7150 4.9034 3.3975 89.97 63.91 129.37
Site moments in Bohr magnetons follow the coordinates.
Positions (direct):
Cd1 0.5000 0.5000 0.0000  -0.04
Ba1 0.0000 0.5000 0.5000  -0.12
Co1 0.5000 0.0000 0.5000  1.30
Co2 0.0000 0.0000 0.0000  1.30

The density of states at the Fermi level comes out at 9.20 states/eV/f.u. The value obtained for the raw total energy is -3.47 eV/atom. As for the formation energy from the elements: 0.79 eV per atom.

Record 8
Here is a geometry-optimized Ba2CdCo structure from Alexandria. Energies are from PBE.

Lattice parameters (Å, degrees): 3.9692 3.9687 8.3403 90.00 90.00 90.00
Site moments in Bohr magnetons follow the coordinates.
Positions (direct):
Cd1 0.5000 0.5000 0.2500  0.01
Ba1 0.0000 0.0000 0.9695  -0.10
Ba2 0.0000 0.0000 0.5305  -0.10
Co1 0.5000 0.5000 0.7500  1.40

The density of states at the Fermi level comes out at 5.97 states/eV/f.u. The value obtained for the raw total energy is -2.76 eV/atom. As for the formation energy from the elements: 0.21 eV per atom.

Record 9
Here is a geometry-optimized BaCd2Co structure from Alexandria. Energies are from PBE.

Lattice parameters (Å, degrees): 5.3254 5.3254 5.3254 60.00 60.00 60.00
Site moments in Bohr magnetons follow the coordinates.
Positions (direct):
Cd1 0.7500 0.7500 0.7500  -0.02
Cd2 0.2500 0.2500 0.2500  -0.02
Ba1 0.5000 0.5000 0.5000  -0.07
Co1 0.0000 0.0000 0.0000  1.75

The density of states at the Fermi level comes out at 4.29 states/eV/f.u. The value obtained for the raw total energy is -2.33 eV/atom. As for the formation energy from the elements: 0.38 eV per atom.

Record 10
Here is a geometry-optimized BaCd2Co2 structure from Alexandria. Energies are from PBE.

Lattice parameters (Å, degrees): 4.5658 4.5658 6.3487 68.93 68.93 90.00
Site moments in Bohr magnetons follow the coordinates.
Positions (direct):
Co1 0.6000 0.6000 0.8000  1.49
Co2 0.4000 0.4000 0.2000  1.49
Cd1 0.2500 0.7500 0.5000  -0.04
Cd2 0.7500 0.2500 0.5000  -0.04
Ba1 0.0000 0.0000 0.0000  -0.10

The density of states at the Fermi level comes out at 7.45 states/eV/f.u. The value obtained for the raw total energy is -3.36 eV/atom. As for the formation energy from the elements: 0.23 eV per atom.

Record 11
Here is a geometry-optimized BaCd2Co structure from Alexandria. Energies are from PBE.

Lattice parameters (Å, degrees): 3.4708 3.4801 8.0416 90.00 90.00 90.00
Site moments in Bohr magnetons follow the coordinates.
Positions (direct):
Co1 0.5000 0.5000 0.2500  1.48
Cd1 0.0000 0.0000 0.4261  -0.02
Cd2 0.0000 0.0000 0.0739  -0.02
Ba1 0.5000 0.5000 0.7500  0.00

The density of states at the Fermi level comes out at 4.89 states/eV/f.u. The value obtained for the raw total energy is -2.50 eV/atom. As for the formation energy from the elements: 0.21 eV per atom.

Record 12
Here is a geometry-optimized Ba2CdCo structure from Alexandria. Energies are from PBE.

Lattice parameters (Å, degrees): 5.5292 5.5292 5.5292 60.00 60.00 60.00
Site moments in Bohr magnetons follow the coordinates.
Positions (direct):
Ba1 0.2500 0.2500 0.2500  -0.04
Ba2 0.0000 0.0000 0.0000  -0.07
Cd1 0.5000 0.5000 0.5000  0.00
Co1 0.7500 0.7500 0.7500  1.66

The density of states at the Fermi level comes out at 6.51 states/eV/f.u. The value obtained for the raw total energy is -2.54 eV/atom. As for the formation energy from the elements: 0.43 eV per atom.

> formation energy from the elements of number 10 (BaCd2Co2)?

0.23 eV per atom

Copy entry 3 word for word.
Here is a geometry-optimized BaCdCo2 structure from Alexandria. Energies are from PBE.

Lattice parameters (Å, degrees): 3.5836 3.5867 6.9556 90.00 90.00 90.00
Site moments in Bohr magnetons follow the coordinates.
Positions (direct):
Cd1 0.5000 0.5000 0.7500  -0.04
Ba1 0.5000 0.5000 0.2500  -0.07
Co1 0.0000 0.0000 0.5913  1.71
Co2 0.0000 0.0000 0.9087  1.71

The density of states at the Fermi level comes out at 4.09 states/eV/f.u. The value obtained for the raw total energy is -3.75 eV/atom. As for the formation energy from the elements: 0.51 eV per atom.

> Number 3 is which compound?

BaCdCo2